Entry 1:
{"formula": "BeSi2Au", "functional": "PBE-GGA", "state": "relaxed", "lattice": [[-1.592, 1.731, 5.835], [1.592, -1.731, 5.835], [1.592, 1.731, -5.835]], "species": ["Be", "Si", "Si", "Au"], "frac_coords": [[0.000, 0.000, 0.000], [0.289, 0.289, 0.000], [0.711, 0.711, 0.000], [0.500, 0.500, 0.000]], "magnetic_moment_mub_per_fu": 0.00, "raw_formation_energy_ev_per_atom": 0.213, "e_tot_ev_per_atom": -4.249, "mass_density_g_cm3": 6.8, "sg": "Immm, No. 71"}

---

Entry 2:
{"formula": "BeSi2Au", "functional": "PBE-GGA", "state": "relaxed", "lattice": [[2.791, 0.000, 0.000], [0.000, 4.213, 0.000], [0.000, 0.000, 5.076]], "species": ["Be", "Si", "Si", "Au"], "frac_coords": [[0.000, 0.000, 0.000], [0.000, 0.500, 0.500], [0.500, 0.000, 0.500], [0.500, 0.500, 0.000]], "magnetic_moment_mub_per_fu": 0.00, "raw_formation_energy_ev_per_atom": 0.392, "e_tot_ev_per_atom": -4.071, "mass_density_g_cm3": 7.3, "sg": "Pmmm, No. 47"}

---

Entry 3:
{"formula": "Be2SiAu2", "functional": "PBE-GGA", "state": "relaxed", "lattice": [[7.116, 0.000, 0.000], [0.000, 7.116, 0.000], [0.000, 0.000, 2.780]], "species": ["Be", "Be", "Be", "Be", "Si", "Si", "Au", "Au", "Au", "Au"], "frac_coords": [[0.130, 0.370, 0.000], [0.370, 0.870, 0.000], [0.630, 0.130, 0.000], [0.870, 0.630, 0.000], [0.000, 0.000, 0.500], [0.500, 0.500, 0.500], [0.164, 0.664, 0.500], [0.336, 0.164, 0.500], [0.664, 0.836, 0.500], [0.836, 0.336, 0.500]], "magnetic_moment_mub_per_fu": 0.00, "raw_formation_energy_ev_per_atom": 0.096, "e_tot_ev_per_atom": -3.790, "polymorph_energy_mev_per_atom": 40, "mass_density_g_cm3": 10.4, "sg": "P4/mbm, No. 127"}

---

Entry 4:
{"formula": "BeSi2Au", "functional": "PBE-GGA", "state": "relaxed", "lattice": [[2.768, 0.000, 0.000], [0.000, 2.768, 0.000], [0.000, 0.000, 7.407]], "species": ["Be", "Si", "Si", "Au"], "frac_coords": [[0.000, 0.000, 0.000], [0.000, 0.000, 0.486], [0.500, 0.500, 0.211], [0.500, 0.500, 0.782]], "magnetic_moment_mub_per_fu": 0.00, "raw_formation_energy_ev_per_atom": 0.290, "e_tot_ev_per_atom": -4.173, "mass_density_g_cm3": 7.7, "sg": "P4mm, No. 99"}

---

Entry 5:
{"formula": "BeSiAu4", "functional": "PBE-GGA", "state": "relaxed", "lattice": [[0.000, 3.854, 3.854], [3.854, 0.000, 3.854], [3.854, 3.854, 0.000]], "species": ["Be", "Si", "Au", "Au", "Au", "Au"], "frac_coords": [[0.000, 0.000, 0.000], [0.750, 0.750, 0.750], [0.375, 0.375, 0.375], [0.375, 0.375, 0.876], [0.375, 0.876, 0.375], [0.876, 0.375, 0.375]], "magnetic_moment_mub_per_fu": 0.00, "raw_formation_energy_ev_per_atom": 0.578, "e_tot_ev_per_atom": -3.132, "mass_density_g_cm3": 12.0, "sg": "F-43m, No. 216"}

---

Entry 6:
{"formula": "BeSi2Au", "functional": "PBE-GGA", "state": "relaxed", "lattice": [[0.000, 3.096, 3.096], [3.096, 0.000, 3.096], [3.096, 3.096, 0.000]], "species": ["Be", "Si", "Si", "Au"], "frac_coords": [[0.000, 0.000, 0.000], [0.250, 0.250, 0.250], [0.500, 0.500, 0.500], [0.750, 0.750, 0.750]], "magnetic_moment_mub_per_fu": 0.00, "raw_formation_energy_ev_per_atom": 0.514, "e_tot_ev_per_atom": -3.948, "mass_density_g_cm3": 7.3, "sg": "F-43m, No. 216"}